Density functional theory data (GGA-PBE) for crystalline BPbO2 at its relaxed geometry.

Calculated values
Raw formation energy = 0.6042 eV per atom
Fermi-level density of states = 3.6 states/eV/cell
Space-group type = Fm-3m, No. 225
VASP energy = -0.16432 Ha/atom
Energy relative to the lowest polymorph listed for this composition = 2075 meV/atom

Geometry as POSCAR:
```
BPbO2
1.0
0.651 1.850 3.636
-3.195 0.911 2.455
-0.567 -2.095 3.515
O B Pb
2 1 1
Direct
0.250 0.250 0.250
0.750 0.750 0.750
0.000 0.000 0.000
0.500 0.500 0.500
```